Computed, not measured: an optimized crystal structure of HgRuIO2 at the PBE level of DFT.

Cell lengths 4.1034, 4.1034, 6.8596 Å; angles 90.00, 90.00, 90.00 degrees
Last column: nearest neighbours and their distance in Å.
Fractional coordinates of all 5 atoms:
I: 0.0000 0.0000 0.5000  4 Ru 2.90
Ru: 0.5000 0.5000 0.5000  4 I 2.90
Hg: 0.0000 0.0000 0.0000  4 O 2.05
O: 0.0000 0.5000 0.0000  2 Hg 2.05
O: 0.5000 0.0000 0.0000  2 Hg 2.05

Calculated values
As for the total magnetization: 3.69 μB per cell. The calculation puts the distance to the lowest polymorph of the same formula at 106.6 kJ/mol of atoms. Its crystal system is tetragonal. The value obtained for the total DFT energy (no corrections) is -3.236 eV per atom.